(1)
# CrP4 | Alexandria via LeMat-Bulk | meta-GGA SCAN | single point on PBEsol structure
data_CrP4
_chemical_formula_sum 'Cr4 P16'
_cell_length_a 5.1458
_cell_length_b 10.6444
_cell_length_c 5.6189
_cell_angle_alpha 90.00
_cell_angle_beta 110.14
_cell_angle_gamma 90.00
_space_group_name_H-M_alt 'C 1 2/c 1'
_space_group_IT_number 15
loop_
_space_group_symop_operation_xyz
'x,y,z'
'-x,-y,-z'
'-x,y,-z+1/2'
'x,-y,z+1/2'
'x+1/2,y+1/2,z'
'-x+1/2,-y+1/2,-z'
'-x+1/2,y+1/2,-z+1/2'
'x+1/2,-y+1/2,z+1/2'
loop_
_atom_site_label
_atom_site_type_symbol
_atom_site_fract_x
_atom_site_fract_y
_atom_site_fract_z
Cr1 Cr 0.0000 0.0585 0.2500
P1 P 0.2273 0.2840 0.8080
P2 P 0.2285 0.4093 0.3252
# Formation energy   -0.32 eV/atom

(2)
# SrLi2Tl | Alexandria via LeMat-Bulk | meta-GGA SCAN | single point on PBEsol structure
data_SrLi2Tl
_chemical_formula_sum 'Sr2 Li4 Tl2'
_cell_length_a 4.4333
_cell_length_b 5.3491
_cell_length_c 8.8729
_cell_angle_alpha 90.00
_cell_angle_beta 90.00
_cell_angle_gamma 90.00
_space_group_name_H-M_alt 'I m m 2'
_space_group_IT_number 44
loop_
_space_group_symop_operation_xyz
'x,y,z'
'-x,-y,z'
'-x,y,z'
'x,-y,z'
'x+1/2,y+1/2,z+1/2'
'-x+1/2,-y+1/2,z+1/2'
'-x+1/2,y+1/2,z+1/2'
'x+1/2,-y+1/2,z+1/2'
loop_
_atom_site_label
_atom_site_type_symbol
_atom_site_fract_x
_atom_site_fract_y
_atom_site_fract_z
Sr1 Sr 0.0000 0.0000 0.0000
Li1 Li 0.0000 0.0000 0.5004
Li2 Li 0.0000 0.5000 0.2201
Tl1 Tl 0.0000 0.5000 0.7757
# Formation energy   -0.27 eV/atom

(3)
# In2CuIr | Alexandria via LeMat-Bulk | meta-GGA SCAN | single point on PBEsol structure
data_In2CuIr
_chemical_formula_sum 'In4 Cu2 Ir2'
_cell_length_a 9.9631
_cell_length_b 3.0069
_cell_length_c 4.6527
_cell_angle_alpha 90.00
_cell_angle_beta 106.69
_cell_angle_gamma 90.00
_space_group_name_H-M_alt 'C 1 m 1'
_space_group_IT_number 8
loop_
_space_group_symop_operation_xyz
'x,y,z'
'x,-y,z'
'x+1/2,y+1/2,z'
'x+1/2,-y+1/2,z'
loop_
_atom_site_label
_atom_site_type_symbol
_atom_site_fract_x
_atom_site_fract_y
_atom_site_fract_z
In1 In 0.0000 0.0000 0.0000
In2 In 0.2156 0.0000 0.6294
Cu1 Cu 0.4603 0.0000 0.4732
Ir1 Ir 0.2496 0.5000 0.1481
# Formation energy   0.01 eV/atom

(4)
# BaNa2Pd2 | Alexandria via LeMat-Bulk | meta-GGA SCAN | single point on PBEsol structure
data_BaNa2Pd2
_chemical_formula_sum 'Ba2 Na4 Pd4'
_cell_length_a 4.3676
_cell_length_b 4.3676
_cell_length_c 13.2791
_cell_angle_alpha 90.00
_cell_angle_beta 90.00
_cell_angle_gamma 90.00
_space_group_name_H-M_alt 'I 4/m m m'
_space_group_IT_number 139
_space_group_name_Hall '-I 4 2'
loop_
_atom_site_label
_atom_site_type_symbol
_atom_site_fract_x
_atom_site_fract_y
_atom_site_fract_z
Ba1 Ba 0.0000 0.0000 0.0000
Na1 Na 0.0000 0.5000 0.2500
Pd1 Pd 0.0000 0.0000 0.4019
# Formation energy   -0.27 eV/atom